Version one
VASP calculation (PBE-GGA) on a relaxed SnOsF3 crystal.

Summary:
DOS at the Fermi energy: 0.868 states/eV per atom

Lattice parameters (Å, degrees): 4.2863 4.2863 4.2863 90.00 90.00 90.00
Space group Pm-3m (No. 221)
Unique sites:
Sn 0.0000 0.0000 0.0000 [1 per cell]
Os 0.5000 0.5000 0.5000 [1 per cell]
F 0.0000 0.5000 0.5000 [3 per cell]

Version two
VASP calculation (PBE-GGA) on a relaxed SnOsF3 crystal.

Summary:
DOS at the Fermi energy: 1.341 states/eV per atom

Lattice parameters (Å, degrees): 4.5907 4.5907 4.5907 90.00 90.00 90.00
Space group Pm-3m (No. 221)
Unique sites:
Sn 0.0000 0.0000 0.0000 [1 per cell]
Os 0.5000 0.5000 0.5000 [1 per cell]
F 0.0000 0.0000 0.5000 [3 per cell]

Consider the structures shown above. The most stable of them is version one.